A relaxed PmNdSc crystal. Source: the Open Quantum Materials Database, functional PBE.

Calculated formation energy   0.651 eV/atom
Energy above the lowest structure with this stoichiometry   0 meV/atom
Space-group type   F-43m (216)

Cell lengths 5.3369, 5.3369, 5.3369 Å; angles 60.00, 60.00, 60.00 degrees
Positions (direct):
Nd: 0.2500 0.2500 0.2500
Pm: 0.7500 0.7500 0.7500
Sc: 0.0000 0.0000 0.0000